1.
A plane-wave DFT calculation with PBE was carried out for crystalline TbSiPt at its relaxed geometry.

Computed properties:
* formation energy (no corrections): -3.60 eV per formula unit
* V: 56.9 Å³/f.u.
* uncorrected energy: -6.566 eV per atom
* total moment: 0.00 μB per formula unit

Cell: 4.3052 21.2519 7.4577 Å, 90.00 90.00 90.00°
Space group Imm2 (No. 44)
One atom of each set of equivalent atoms:
Tb1 0.0000 0.0000 0.0000 x2
Tb2 0.0000 0.1659 0.9043 x4
Tb3 0.0000 0.3314 0.9966 x4
Tb4 0.0000 0.5000 0.9080 x2
Si1 0.0000 0.0979 0.2917 x4
Si2 0.0000 0.2718 0.6127 x4
Si3 0.0000 0.4382 0.2927 x4
Pt1 0.0000 0.0722 0.6213 x4
Pt2 0.0000 0.2352 0.2844 x4
Pt3 0.0000 0.3960 0.6182 x4

***

2.
A plane-wave DFT calculation with PBE was carried out for crystalline Tb2Si7Pt12 at its relaxed geometry.

Computed properties:
* formation energy (no corrections): -19.18 eV per formula unit
* V: 338.8 Å³/f.u.
* uncorrected energy: -6.614 eV per atom
* total moment: 0.00 μB per formula unit

Cell: 9.9422 9.9422 3.9581 Å, 90.00 90.00 120.00°
Space group P-3 (No. 147)
One atom of each set of equivalent atoms:
Tb1 0.3333 0.6667 0.2461 x2
Si1 0.0000 0.0000 0.5000 x1
Si2 0.1170 0.4046 0.7467 x6
Pt1 0.0735 0.6197 0.7492 x6
Pt2 0.1132 0.8526 0.2421 x6

***

3.
A plane-wave DFT calculation with PBE was carried out for crystalline TbSiPt4 at its relaxed geometry.

Computed properties:
* formation energy (no corrections): -5.38 eV per formula unit
* V: 103.2 Å³/f.u.
* uncorrected energy: -6.599 eV per atom
* total moment: 0.00 μB per formula unit

Cell: 7.6742 3.8888 6.9161 Å, 90.00 90.00 90.00°
Space group Pmma (No. 51)
One atom of each set of equivalent atoms:
Tb1 0.2500 0.0000 0.1298 x2
Si1 0.2500 0.0000 0.7109 x2
Pt1 0.0000 0.0000 0.5000 x2
Pt2 0.0592 0.5000 0.8083 x4
Pt3 0.2500 0.5000 0.4454 x2

***

4.
A plane-wave DFT calculation with PBE was carried out for crystalline Tb3Si3Pt2 at its relaxed geometry.

Computed properties:
* formation energy (no corrections): -8.82 eV per formula unit
* V: 158.6 Å³/f.u.
* uncorrected energy: -6.383 eV per atom
* total moment: 0.00 μB per formula unit

Cell: 4.2851 10.3961 14.2371 Å, 90.00 90.00 90.00°
Space group Cmcm (No. 63)
One atom of each set of equivalent atoms:
Tb1 0.0000 0.0916 0.1110 x8
Tb2 0.0000 0.3716 0.2500 x4
Si1 0.0000 0.3322 0.7500 x4
Si2 0.0000 0.3872 0.0347 x8
Pt1 0.0000 0.1950 0.6011 x8

***

5.
A plane-wave DFT calculation with PBE was carried out for crystalline Tb3Si2Pt4 at its relaxed geometry.

Computed properties:
* formation energy (no corrections): -10.75 eV per formula unit
* V: 177.2 Å³/f.u.
* uncorrected energy: -6.627 eV per atom
* total moment: 0.00 μB per formula unit

Cell: 10.3732 4.3155 8.5458 Å, 90.00 112.16 90.00°
Space group C2/m (No. 12)
One atom of each set of equivalent atoms:
Tb1 0.0000 0.0000 0.0000 x2
Tb2 0.1357 0.5000 0.6917 x4
Si1 0.1626 0.5000 0.3297 x4
Pt1 0.0997 0.0000 0.4142 x4
Pt2 0.2170 0.5000 0.0797 x4

***

6.
A plane-wave DFT calculation with PBE was carried out for crystalline TbSi3Pt2 at its relaxed geometry.

Computed properties:
* formation energy (no corrections): -4.81 eV per formula unit
* V: 106.7 Å³/f.u.
* uncorrected energy: -6.298 eV per atom
* total moment: 0.00 μB per formula unit

Cell: 15.0514 4.0527 7.3741 Å, 90.00 108.47 90.00°
Space group C2/m (No. 12)
One atom of each set of equivalent atoms:
Tb1 0.1418 0.0000 0.0993 x4
Si1 0.0237 0.0000 0.6639 x4
Si2 0.1499 0.5000 0.7961 x4
Si3 0.1656 0.5000 0.4408 x4
Pt1 0.0095 0.5000 0.1949 x4
Pt2 0.1960 0.0000 0.6683 x4